# 1
First-principles (meta-GGA SCAN) data for a PBEsol-optimized structure of TaCoOs2, as listed in Alexandria via LeMat-Bulk.

abc: 3.8174 3.8174 4.6587
angles: 114.19 114.19 90.00
Atoms (fractional coordinates):
Os  0.0000  0.0000  0.0000
Os  0.7500  0.2500  0.5000
Co  0.2500  0.7500  0.5000
Ta  0.5000  0.5000  0.0000

## Properties
calculated formation energy	-0.36	eV per formula unit
calculated volume	55	Å³ per cell
E_tot	-228.01	eV per cell

# 2
First-principles (meta-GGA SCAN) data for a PBEsol-optimized structure of ZrTaCo2Os, as listed in Alexandria via LeMat-Bulk.

abc: 4.1992 4.1992 4.8967
angles: 90.00 90.00 90.00
Atoms (fractional coordinates):
Co  0.0000  0.5000  0.0000
Co  0.5000  0.0000  0.0000
Os  0.5000  0.5000  0.5000
Zr  0.0000  0.0000  0.0000
Ta  0.0000  0.0000  0.5000

## Properties
calculated formation energy	10.34	eV per formula unit
calculated volume	86	Å³ per cell
E_tot	-193.43	eV per cell